Record 1
MgCuSe: single point on PBEsol structure, SCAN.

abc: 5.3524 6.3507 6.4738
angles: 90.00 111.94 90.00
Closest atoms and distances in Å follow each position.
Space group P2_1/c (No. 14)
Inequivalent atoms, fractional coordinates:
Mg 0.1662 0.2015 0.3409 [4 per cell]  4 Cu 2.67-2.85, 4 Se 2.69-2.83
Cu 0.2225 0.5762 0.5404 [4 per cell]  1 Cu 2.44, 3 Se 2.45-2.60, 3 Mg 2.67-2.72
Se 0.3439 0.5663 0.1866 [4 per cell]  3 Cu 2.45-2.60, 1 Mg 2.69

Properties
The value obtained for the total energy is -1.0297 Ry per atom. The calculation puts the raw formation energy at -0.593 eV per atom.

---

Record 2
Mg4CuSe2: single point on PBEsol structure, SCAN.

abc: 4.4882 4.4882 26.6726
angles: 90.00 90.00 120.00
Closest atoms and distances in Å follow each position.
Space group R-3m (No. 166, hexagonal axes)
Inequivalent atoms, fractional coordinates:
Mg 0.0000 0.0000 0.1172 [6 per cell]  4 Se 2.59-2.72
Mg 0.0000 0.0000 0.3620 [6 per cell]  3 Cu 2.70, 3 Mg 3.01
Cu 0.0000 0.0000 0.0000 [3 per cell]  6 Mg 2.70
Se 0.0000 0.0000 0.2191 [6 per cell]  4 Mg 2.59-2.72

Properties
Its density of states at the Fermi level is 3.15 states/eV/f.u. The value obtained for the total energy is -0.8280 Ry per atom. The calculation puts the raw formation energy at -0.515 eV per atom.

---

Record 3
MgCuSe2: single point on PBEsol structure, SCAN.

abc: 12.7200 3.2644 3.6664
angles: 90.00 90.02 90.00
Closest atoms and distances in Å follow each position.
Space group Cm (No. 8)
Inequivalent atoms, fractional coordinates:
Mg 0.0000 0.0000 0.0000 [2 per cell]  6 Se 2.69-2.78
Cu 0.2233 0.0000 0.5026 [2 per cell]  5 Se 2.41-2.53
Se 0.1766 0.5000 0.0021 [2 per cell]  4 Cu 2.52-2.53, 2 Mg 2.78
Se 0.4127 0.0000 0.5002 [2 per cell]  1 Cu 2.41, 4 Mg 2.69

Properties
Its density of states at the Fermi level is 1.36 states/eV/f.u. The value obtained for the total energy is -1.1519 Ry per atom. The calculation puts the raw formation energy at -0.590 eV per atom.

---

Record 4
MgCuSe2: single point on PBEsol structure, SCAN.

abc: 5.7120 5.7120 11.2324
angles: 90.00 90.00 90.00
Closest atoms and distances in Å follow each position.
Space group I-42d (No. 122)
Inequivalent atoms, fractional coordinates:
Mg 0.0000 0.0000 0.0000 [4 per cell]  4 Se 2.57
Cu 0.0000 0.0000 0.5000 [4 per cell]  4 Se 2.36
Se 0.2181 0.2500 0.6250 [8 per cell]  2 Cu 2.36, 2 Mg 2.57

Properties
Its density of states at the Fermi level is 3.51 states/eV/f.u. The value obtained for the total energy is -1.1591 Ry per atom. The calculation puts the raw formation energy at -0.688 eV per atom.

---

Record 5
MgCu2Se: single point on PBEsol structure, SCAN.

abc: 3.6811 3.6811 4.4191
angles: 90.00 90.00 90.00
Closest atoms and distances in Å follow each position.
Space group P4/mmm (No. 123)
Inequivalent atoms, fractional coordinates:
Mg 0.0000 0.0000 0.0000 [1 per cell]  4 Se 2.60, 8 Cu 2.88
Cu 0.0000 0.5000 0.5000 [2 per cell]  4 Cu 2.60, 4 Se 2.88, 4 Mg 2.88
Se 0.5000 0.5000 0.0000 [1 per cell]  4 Mg 2.60, 8 Cu 2.88

Properties
Its density of states at the Fermi level is 0.45 states/eV/f.u. The value obtained for the total energy is -1.0293 Ry per atom. The calculation puts the raw formation energy at -0.141 eV per atom.

---

Record 6
MgCuSe: single point on PBEsol structure, SCAN.

abc: 3.8291 8.5328 6.3085
angles: 90.00 90.00 90.00
Closest atoms and distances in Å follow each position.
Space group Cmcm (No. 63)
Inequivalent atoms, fractional coordinates:
Mg 0.0000 0.0000 0.0000 [4 per cell]  4 Cu 2.78, 4 Se 2.85
Cu 0.0000 0.3530 0.2500 [4 per cell]  3 Se 2.50-2.65, 4 Mg 2.78
Se 0.0000 0.3362 0.7500 [4 per cell]  3 Cu 2.50-2.65

Properties
Its density of states at the Fermi level is 0.62 states/eV/f.u. The value obtained for the total energy is -1.0057 Ry per atom. The calculation puts the raw formation energy at -0.267 eV per atom.

---

Record 7
Mg2CuSe4: single point on PBEsol structure, SCAN.

abc: 6.7440 6.7440 6.6151
angles: 90.00 90.00 90.00
Closest atoms and distances in Å follow each position.
Space group I4/mmm (No. 139)
Inequivalent atoms, fractional coordinates:
Mg 0.0000 0.5000 0.2500 [4 per cell]  8 Se 2.90
Cu 0.0000 0.0000 0.0000 [2 per cell]  4 Se 2.32
Se 0.2436 0.2436 0.0000 [8 per cell]  1 Cu 2.32

Properties
Its density of states at the Fermi level is 2.42 states/eV/f.u. The value obtained for the total energy is -1.1432 Ry per atom. The calculation puts the raw formation energy at -0.488 eV per atom.

---

Record 8
Mg3CuSe2: single point on PBEsol structure, SCAN.

abc: 6.8748 6.8748 10.1792
angles: 90.00 90.00 120.00
Closest atoms and distances in Å follow each position.
Space group R-3m (No. 166, hexagonal axes)
Inequivalent atoms, fractional coordinates:
Mg 0.0000 0.5000 0.0000 [9 per cell]  2 Se 2.58, 2 Cu 2.61
Cu 0.0000 0.0000 0.5000 [3 per cell]  6 Mg 2.61
Se 0.0000 0.0000 0.1707 [6 per cell]  3 Mg 2.58

Properties
Its density of states at the Fermi level is 3.11 states/eV/f.u. The value obtained for the total energy is -0.8849 Ry per atom. The calculation puts the raw formation energy at -0.327 eV per atom.

---

The following magnetic moment values (in μB per cell) correspond, in order, to the records above: 0.00 0.00 0.00 0.00 0.00 0.00 0.00 0.00.